1.
This record from the Alexandria database describes a relaxed structure of Ag2AuI5. The functional is PBE.

Properties
crystal system: orthorhombic
raw formation energy: -0.092 eV/atom
magnetization: 0.0 μB per formula unit

a b c (Å): 7.3469 7.4651 13.1679
angles (deg): 90.00 90.00 119.48
Last column: nearest neighbours and their distance in Å.
Element x y z (fractional)
Ag 0.8193 0.6385 0.4411  3 I 2.76-2.93
Ag 0.8193 0.6385 0.0589  3 I 2.76-2.93
Ag 0.1807 0.3615 0.5589  3 I 2.76-2.93
Ag 0.1807 0.3615 0.9411  3 I 2.76-2.93
Au 0.7860 0.5720 0.7500  4 I 2.71-2.74
Au 0.2140 0.4280 0.2500  4 I 2.71-2.74
I 0.9440 0.8879 0.8843  1 Au 2.71, 1 Ag 2.81
I 0.9440 0.8879 0.6157  1 Au 2.71, 1 Ag 2.81
I 0.3483 0.6965 0.4106  1 Au 2.74, 1 Ag 2.93
I 0.3483 0.6965 0.0894  1 Au 2.74, 1 Ag 2.93
I 0.7325 0.4650 0.2500  2 Ag 2.76
I 0.2675 0.5350 0.7500  2 Ag 2.76
I 0.6517 0.3035 0.5894  1 Au 2.74, 1 Ag 2.93
I 0.6517 0.3035 0.9106  1 Au 2.74, 1 Ag 2.93
I 0.0560 0.1121 0.1157  1 Au 2.71, 1 Ag 2.81
I 0.0560 0.1121 0.3843  1 Au 2.71, 1 Ag 2.81

2.
This record from the Alexandria database describes a relaxed structure of Ac2Zn5Ge3. The functional is PBE.

Properties
crystal system: orthorhombic
formation energy: -0.446 eV per atom
magnetization: 0.0 μB per formula unit

a b c (Å): 6.2915 8.8323 8.8323
angles (deg): 72.45 69.14 69.14
Last column: nearest neighbours and their distance in Å.
Element x y z (fractional)
Ac 0.1247 0.6371 0.1135  6 Ge 3.35-3.43, 11 Zn 3.40-3.70
Ac 0.6247 0.1135 0.6371  6 Ge 3.35-3.43, 11 Zn 3.40-3.70
Ac 0.8753 0.3629 0.8865  6 Ge 3.35-3.43, 11 Zn 3.40-3.70
Ac 0.3753 0.8865 0.3629  6 Ge 3.35-3.43, 11 Zn 3.40-3.70
Zn 0.3641 0.2516 0.0202  3 Ge 2.55-2.64, 2 Zn 2.59
Zn 0.8641 0.0202 0.2516  3 Ge 2.55-2.64, 2 Zn 2.59
Zn 0.6359 0.7484 0.9798  3 Ge 2.55-2.64, 2 Zn 2.59
Zn 0.1359 0.9798 0.7484  3 Ge 2.55-2.64, 2 Zn 2.59
Zn 0.5157 0.7343 0.7343  2 Zn 2.59, 2 Ge 2.61
Zn 0.4843 0.2657 0.2657  2 Zn 2.59, 2 Ge 2.61
Zn 0.7500 0.5000 0.5000  4 Ge 2.64
Zn 0.2500 0.5000 0.5000  4 Ge 2.64
Zn 0.9843 0.2657 0.2657  2 Zn 2.59, 2 Ge 2.61
Zn 0.0157 0.7343 0.7343  2 Zn 2.59, 2 Ge 2.61
Ge 0.3813 0.4777 0.7597  5 Zn 2.55-2.64
Ge 0.8813 0.7597 0.4777  5 Zn 2.55-2.64
Ge 0.6187 0.5223 0.2403  5 Zn 2.55-2.64
Ge 0.1187 0.2403 0.5223  5 Zn 2.55-2.64
Ge 0.2500 0.0000 0.0000  4 Zn 2.64
Ge 0.7500 0.0000 0.0000  4 Zn 2.64

3.
This record from the Alexandria database describes a relaxed structure of TaFeOs2. The functional is PBE.

Properties
crystal system: tetragonal
formation energy: 0.623 eV per atom
magnetization: 1.7 μB per formula unit

a b c (Å): 3.8702 3.8702 9.1325
angles (deg): 77.77 77.77 90.00
Last column: nearest neighbours and their distance in Å.
Element x y z (fractional)
Os 0.5745 0.1250 0.2500  2 Os 2.48, 2 Fe 2.51, 2 Ta 2.65
Os 0.1755 0.6250 0.2500  2 Os 2.48, 2 Fe 2.51, 2 Ta 2.65
Os 0.3750 0.4255 0.7500  2 Os 2.48, 2 Fe 2.51, 2 Ta 2.65
Os 0.8750 0.8245 0.7500  2 Os 2.48, 2 Fe 2.51, 2 Ta 2.65
Fe 0.5000 0.5000 0.0000  4 Os 2.51, 4 Ta 2.74
Fe 0.2500 0.7500 0.5000  4 Os 2.51, 4 Ta 2.74
Ta 0.0000 0.0000 0.0000  4 Os 2.65, 4 Fe 2.74
Ta 0.7500 0.2500 0.5000  4 Os 2.65, 4 Fe 2.74